First-principles (PBE-GGA) data for a geometry-optimized GaCoTc2 structure, as listed in Alexandria.

Results
- crystal system = trigonal
- energy of formation (kJ/mol of formula units) = 31
- energy (eV per atom) = -7.636
- SG = R3m (160)

abc: 2.740 2.740 8.596
angles: 80.83 80.83 60.00
Site moments in Bohr magnetons follow the coordinates.
Fractional coordinates of all 4 atoms:
Co1 0.667 0.667 0.000  0.85
Tc1 0.253 0.253 0.240  -0.06
Tc2 0.080 0.080 0.759  -0.04
Ga1 0.500 0.500 0.500  0.00